Record 1
Here is a relaxed structure of Co2Cu from the Alexandria database. Energies are from PBE-GGA.

a b c (Å): 4.674 4.674 4.674
angles (deg): 60.00 60.00 60.00
Each line ends with the local moment (μB).
Element x y z (fractional)
Co: 0.625 0.125 0.125  1.75
Co: 0.125 0.125 0.625  1.75
Co: 0.125 0.625 0.125  1.75
Co: 0.125 0.125 0.125  1.75
Cu: 0.750 0.750 0.750  0.06
Cu: 0.500 0.500 0.500  0.06



Record 2
Here is a relaxed structure of Co2Cu from the Alexandria database. Energies are from PBE-GGA.

a b c (Å): 4.841 4.841 5.945
angles (deg): 74.21 74.21 30.43
Each line ends with the local moment (μB).
Element x y z (fractional)
Co: 0.662 0.662 0.668  1.69
Co: 0.003 0.003 0.011  1.67
Co: 0.614 0.614 0.274  1.65
Co: 0.328 0.328 0.334  1.68
Cu: 0.282 0.282 0.940  0.09
Cu: 0.944 0.944 0.606  0.10



Record 3
Here is a relaxed structure of Dy2Co5Cu5 from the Alexandria database. Energies are from PBE-GGA.

a b c (Å): 4.081 4.837 8.650
angles (deg): 90.00 90.00 90.00
Each line ends with the local moment (μB).
Element x y z (fractional)
Co: 0.500 0.753 0.742  1.31
Co: 0.500 0.247 0.742  1.31
Co: 0.500 0.753 0.258  1.31
Co: 0.500 0.247 0.258  1.31
Co: 0.500 0.500 0.500  1.40
Cu: 0.000 0.500 0.669  0.04
Cu: 0.000 0.500 0.331  0.04
Cu: 0.000 0.000 0.828  0.02
Cu: 0.500 0.000 0.000  0.00
Cu: 0.000 0.000 0.172  0.02
Dy: 0.000 0.000 0.500  -0.22
Dy: 0.000 0.500 0.000  -0.19



Record 4
Here is a relaxed structure of Dy4CoCu3 from the Alexandria database. Energies are from PBE-GGA.

a b c (Å): 3.720 4.374 10.312
angles (deg): 90.00 90.00 90.00
Element x y z (fractional)
Dy: 0.000 0.500 0.869
Dy: 0.500 0.000 0.642
Dy: 0.000 0.000 0.138
Dy: 0.500 0.500 0.348
Cu: 0.000 0.500 0.570
Cu: 0.500 0.000 0.930
Cu: 0.000 0.000 0.429
Co: 0.500 0.500 0.074



Record 5
Here is a relaxed structure of Dy2CoCu from the Alexandria database. Energies are from PBE-GGA.

a b c (Å): 4.807 4.807 4.807
angles (deg): 60.00 60.00 60.00
Each line ends with the local moment (μB).
Element x y z (fractional)
Dy: 0.250 0.250 0.250  -0.07
Dy: 0.750 0.750 0.750  -0.07
Cu: 0.500 0.500 0.500  0.00
Co: 0.000 0.000 0.000  0.52



Record 6
Here is a relaxed structure of Dy4Co2Cu from the Alexandria database. Energies are from PBE-GGA.

a b c (Å): 7.342 7.342 7.338
angles (deg): 108.91 108.88 110.63
Element x y z (fractional)
Dy: 0.861 0.615 0.122
Dy: 0.388 0.009 0.253
Dy: 0.260 0.138 0.753
Dy: 0.385 0.507 0.247
Dy: 0.493 0.740 0.878
Dy: 0.990 0.242 0.378
Dy: 0.757 0.136 0.747
Dy: 0.865 0.612 0.622
Co: 0.625 0.248 0.123
Co: 0.754 0.875 0.379
Co: 0.496 0.375 0.621
Co: 0.126 0.503 0.878
Cu: 0.001 0.001 0.000
Cu: 0.249 0.749 0.499



Record 7
Here is a relaxed structure of Dy2CoCu from the Alexandria database. Energies are from PBE-GGA.

a b c (Å): 3.722 3.722 8.913
angles (deg): 77.95 77.95 60.00
Element x y z (fractional)
Dy: 0.109 0.109 0.674
Dy: 0.891 0.891 0.326
Cu: 0.000 0.000 0.000
Co: 0.500 0.500 0.500



Record 8
Here is a relaxed structure of Dy2CoCu from the Alexandria database. Energies are from PBE-GGA.

a b c (Å): 3.384 3.384 6.920
angles (deg): 90.00 90.00 90.00
Each line ends with the local moment (μB).
Element x y z (fractional)
Cu: 0.500 0.500 0.500  0.01
Dy: 0.000 0.000 0.761  -0.07
Dy: 0.000 0.000 0.239  -0.07
Co: 0.500 0.500 0.000  0.82



Record 9
Here is a relaxed structure of Dy4CoCu from the Alexandria database. Energies are from PBE-GGA.

a b c (Å): 7.621 7.621 7.621
angles (deg): 105.83 105.83 117.04
Element x y z (fractional)
Co: 0.501 0.001 0.500
Co: 0.751 0.751 0.000
Dy: 0.736 0.031 0.295
Dy: 0.264 0.961 0.697
Dy: 0.781 0.986 0.795
Dy: 0.736 0.441 0.705
Dy: 0.317 0.514 0.803
Dy: 0.264 0.567 0.303
Dy: 0.191 0.986 0.205
Dy: 0.711 0.514 0.197
Cu: 0.999 0.499 0.500
Cu: 0.249 0.249 0.000



Record 10
Here is a relaxed structure of Dy3Co7Cu2 from the Alexandria database. Energies are from PBE-GGA.

a b c (Å): 4.958 4.958 8.762
angles (deg): 73.57 73.57 60.00
Each line ends with the local moment (μB).
Element x y z (fractional)
Co: 0.082 0.583 0.752  1.27
Co: 0.918 0.417 0.248  1.27
Co: 0.583 0.583 0.752  1.27
Co: 0.583 0.082 0.752  1.27
Co: 0.500 0.500 0.500  0.90
Co: 0.417 0.417 0.248  1.27
Co: 0.417 0.918 0.248  1.27
Cu: 0.334 0.334 0.999  0.03
Cu: 0.666 0.666 0.001  0.03
Dy: 0.000 0.000 0.000  -0.25
Dy: 0.861 0.861 0.418  -0.33
Dy: 0.139 0.139 0.582  -0.33



Record 11
Here is a relaxed structure of Dy2Co15Cu2 from the Alexandria database. Energies are from PBE-GGA.

a b c (Å): 6.273 6.273 6.273
angles (deg): 83.53 83.53 83.53
Each line ends with the local moment (μB).
Element x y z (fractional)
Cu: 0.899 0.899 0.899  0.05
Cu: 0.101 0.101 0.101  0.05
Co: 0.846 0.349 0.349  1.48
Co: 0.154 0.651 0.651  1.48
Co: 0.000 0.500 0.000  1.53
Co: 0.500 0.000 0.000  1.53
Co: 0.000 0.288 0.712  1.53
Co: 0.000 0.000 0.500  1.53
Co: 0.000 0.712 0.288  1.53
Co: 0.651 0.154 0.651  1.48
Co: 0.349 0.846 0.349  1.48
Co: 0.651 0.651 0.154  1.48
Co: 0.349 0.349 0.846  1.48
Co: 0.288 0.712 0.000  1.53
Co: 0.288 0.000 0.712  1.53
Co: 0.712 0.000 0.288  1.53
Co: 0.712 0.288 0.000  1.53
Dy: 0.656 0.656 0.656  -0.36
Dy: 0.344 0.344 0.344  -0.36



Record 12
Here is a relaxed structure of Dy3CoCu2 from the Alexandria database. Energies are from PBE-GGA.

a b c (Å): 4.037 11.275 11.263
angles (deg): 90.00 90.00 90.00
Element x y z (fractional)
Cu: 0.750 0.309 0.513
Cu: 0.250 0.493 0.803
Cu: 0.750 0.507 0.197
Cu: 0.750 0.191 0.013
Cu: 0.250 0.007 0.303
Cu: 0.250 0.809 0.987
Cu: 0.250 0.691 0.487
Cu: 0.750 0.993 0.697
Dy: 0.250 0.125 0.550
Dy: 0.750 0.293 0.772
Dy: 0.250 0.375 0.050
Dy: 0.750 0.875 0.450
Dy: 0.750 0.949 0.119
Dy: 0.750 0.207 0.272
Dy: 0.250 0.051 0.881
Dy: 0.750 0.551 0.619
Dy: 0.750 0.625 0.950
Dy: 0.250 0.707 0.228
Dy: 0.250 0.793 0.728
Dy: 0.250 0.449 0.381
Co: 0.250 0.133 0.121
Co: 0.750 0.633 0.379
Co: 0.750 0.867 0.879
Co: 0.250 0.367 0.621



Record 13
Here is a relaxed structure of Dy3Co3Cu from the Alexandria database. Energies are from PBE-GGA.

a b c (Å): 4.204 5.334 12.494
angles (deg): 90.00 90.00 113.21
Each line ends with the local moment (μB).
Element x y z (fractional)
Co: 0.193 0.385 0.250  0.66
Co: 0.074 0.148 0.090  0.77
Co: 0.074 0.148 0.410  0.77
Co: 0.807 0.615 0.750  0.66
Co: 0.926 0.852 0.590  0.77
Co: 0.926 0.852 0.910  0.77
Dy: 0.505 0.011 0.750  -0.11
Dy: 0.785 0.569 0.103  -0.10
Dy: 0.215 0.431 0.603  -0.10
Dy: 0.495 0.989 0.250  -0.11
Dy: 0.215 0.431 0.897  -0.10
Dy: 0.785 0.569 0.397  -0.10
Cu: 0.500 0.000 0.500  0.04
Cu: 0.500 0.000 0.000  0.04



Record 14
Here is a relaxed structure of Dy4Co3Cu from the Alexandria database. Energies are from PBE-GGA.

a b c (Å): 3.949 3.981 10.357
angles (deg): 90.00 90.00 90.00
Each line ends with the local moment (μB).
Element x y z (fractional)
Co: 0.500 0.000 0.930  0.05
Co: 0.000 0.000 0.443  0.72
Co: 0.000 0.500 0.556  0.66
Cu: 0.500 0.500 0.068  0.00
Dy: 0.000 0.500 0.854  -0.01
Dy: 0.000 0.000 0.141  -0.02
Dy: 0.500 0.000 0.644  -0.11
Dy: 0.500 0.500 0.363  -0.13



Record 15
Here is a relaxed structure of Dy2Co2Cu from the Alexandria database. Energies are from PBE-GGA.

a b c (Å): 5.232 5.303 7.592
angles (deg): 103.05 90.00 119.56
Each line ends with the local moment (μB).
Element x y z (fractional)
Dy: 0.505 0.708 0.853  -0.04
Dy: 0.797 0.292 0.647  -0.04
Dy: 0.495 0.292 0.147  -0.04
Dy: 0.203 0.708 0.353  -0.04
Cu: 0.145 0.000 0.750  0.01
Cu: 0.855 0.000 0.250  0.01
Co: 0.995 0.283 0.005  0.17
Co: 0.005 0.717 0.995  0.17
Co: 0.713 0.717 0.495  0.17
Co: 0.287 0.283 0.505  0.17



Record 16
Here is a relaxed structure of Dy2CoCu from the Alexandria database. Energies are from PBE-GGA.

a b c (Å): 4.174 5.508 7.600
angles (deg): 110.59 90.00 90.00
Element x y z (fractional)
Dy: 0.750 0.214 0.936
Dy: 0.750 0.226 0.424
Dy: 0.250 0.786 0.064
Dy: 0.250 0.774 0.576
Cu: 0.250 0.356 0.715
Cu: 0.750 0.644 0.285
Co: 0.750 0.639 0.783
Co: 0.250 0.361 0.217



Record 17
Here is a relaxed structure of DyCoCu from the Alexandria database. Energies are from PBE-GGA.

a b c (Å): 5.385 5.385 5.330
angles (deg): 83.38 125.87 122.29
Each line ends with the local moment (μB).
Element x y z (fractional)
Dy: 0.749 0.371 0.120  -0.18
Dy: 0.251 0.629 0.880  -0.18
Co: 0.749 0.010 0.760  1.22
Co: 0.251 0.990 0.240  1.22
Cu: 0.000 0.000 0.500  -0.02
Cu: 0.500 0.500 0.500  -0.02



Record 18
Here is a relaxed structure of Dy2Co2Cu from the Alexandria database. Energies are from PBE-GGA.

a b c (Å): 6.733 6.733 7.870
angles (deg): 90.00 90.00 90.00
Element x y z (fractional)
Co: 0.620 0.120 0.750
Co: 0.120 0.380 0.250
Co: 0.620 0.120 0.250
Co: 0.880 0.620 0.250
Co: 0.120 0.380 0.750
Co: 0.380 0.880 0.250
Co: 0.380 0.880 0.750
Co: 0.880 0.620 0.750
Dy: 0.820 0.320 0.000
Dy: 0.320 0.180 0.500
Dy: 0.320 0.180 0.000
Dy: 0.680 0.820 0.000
Dy: 0.680 0.820 0.500
Dy: 0.180 0.680 0.000
Dy: 0.820 0.320 0.500
Dy: 0.180 0.680 0.500
Cu: 0.500 0.500 0.250
Cu: 0.500 0.500 0.750
Cu: 0.000 0.000 0.750
Cu: 0.000 0.000 0.250



Record 19
Here is a relaxed structure of DyCoCu from the Alexandria database. Energies are from PBE-GGA.

a b c (Å): 3.838 4.028 7.539
angles (deg): 105.49 104.66 90.00
Each line ends with the local moment (μB).
Element x y z (fractional)
Co: 0.215 0.465 0.930  0.72
Co: 0.785 0.535 0.070  0.72
Dy: 0.366 0.116 0.232  -0.11
Dy: 0.634 0.884 0.768  -0.11
Cu: 0.046 0.296 0.592  0.01
Cu: 0.954 0.704 0.408  0.01



Record 20
Here is a relaxed structure of DyCoCu from the Alexandria database. Energies are from PBE-GGA.

a b c (Å): 5.193 5.144 5.144
angles (deg): 57.85 59.68 59.68
Each line ends with the local moment (μB).
Element x y z (fractional)
Dy: 0.876 0.374 0.374  -0.11
Dy: 0.124 0.626 0.626  -0.11
Co: 0.000 0.000 0.000  0.43
Co: 0.500 0.000 0.000  0.43
Cu: 0.500 0.000 0.500  -0.01
Cu: 0.500 0.500 0.000  -0.01



Record 21
Here is a relaxed structure of Dy4Co2Cu from the Alexandria database. Energies are from PBE-GGA.

a b c (Å): 6.897 6.897 7.393
angles (deg): 105.87 105.86 73.56
Element x y z (fractional)
Dy: 0.165 0.635 0.475
Dy: 0.153 0.622 0.971
Dy: 0.622 0.154 0.971
Dy: 0.615 0.615 0.826
Dy: 0.118 0.118 0.825
Dy: 0.126 0.126 0.348
Dy: 0.635 0.165 0.475
Dy: 0.617 0.617 0.342
Cu: 0.831 0.831 0.695
Cu: 0.835 0.835 0.192
Co: 0.334 0.335 0.700
Co: 0.928 0.433 0.619
Co: 0.338 0.338 0.192
Co: 0.433 0.928 0.619



Record 22
Here is a relaxed structure of DyCoCu from the Alexandria database. Energies are from PBE-GGA.

a b c (Å): 3.647 4.093 4.093
angles (deg): 120.00 90.00 90.00
Each line ends with the local moment (μB).
Element x y z (fractional)
Dy: 0.667 0.667 0.333  -0.15
Cu: 0.167 0.000 0.000  0.06
Co: 0.167 0.333 0.667  0.82



Record 23
Here is a relaxed structure of DyErCoCu from the Alexandria database. Energies are from PBE-GGA.

a b c (Å): 4.785 4.785 4.785
angles (deg): 60.00 60.00 60.00
Each line ends with the local moment (μB).
Element x y z (fractional)
Cu: 0.000 0.000 0.000  0.00
Er: 0.750 0.750 0.750  -0.07
Dy: 0.250 0.250 0.250  -0.07
Co: 0.500 0.500 0.500  0.51



no.,DFT formation energy (eV per atom)
1,0.290
2,0.125
3,-0.113
4,-0.248
5,-0.192
6,-0.125
7,0.346
8,-0.197
9,-0.013
10,-0.178
11,-0.072
12,-0.216
13,-0.214
14,-0.203
15,-0.195
16,-0.239
17,0.049
18,-0.146
19,-0.196
20,-0.175
21,-0.170
22,-0.119
23,-0.209